# 1
VASP calculation (GGA-PBE) on an optimized crystal structure of AgSn2Pd4.

Cell lengths 7.0560, 7.1018, 7.1387 Å; angles 123.44, 113.08, 90.33 degrees
Closest atoms and distances in Å follow each position.
Fractional coordinates of all 14 atoms:
1 Ag 0.2096 0.6403 0.5057  1 Sn 2.76, 5 Pd 2.80-3.00, 1 Ag 2.84
2 Ag 0.0666 0.2251 0.0032  6 Pd 2.79-3.06, 1 Ag 2.84, 2 Sn 2.95-3.03
3 Sn 0.6077 0.3375 0.7198  6 Pd 2.66-2.78
4 Sn 0.8264 0.8608 0.4467  6 Pd 2.68-2.82, 1 Ag 2.95
5 Sn 0.5300 0.2219 0.1363  7 Pd 2.67-2.82
6 Sn 0.1536 0.5210 0.7924  7 Pd 2.64-2.91, 1 Ag 2.76
7 Pd 0.9343 0.1626 0.2955  2 Sn 2.68-2.76, 1 Ag 2.82, 4 Pd 2.84-2.97
8 Pd 0.4191 0.6130 0.2338  3 Sn 2.64-2.69, 2 Ag 2.80-2.86, 2 Pd 2.81-2.93
9 Pd 0.7775 0.6015 0.6221  4 Sn 2.66-2.82, 3 Pd 2.71-2.97
10 Pd 0.6323 0.9862 0.7589  3 Sn 2.66-2.80, 4 Pd 2.71-2.89, 1 Ag 2.79
11 Pd 0.3110 0.0121 0.2355  3 Sn 2.67-2.91, 5 Pd 2.77-2.97, 1 Ag 2.93
12 Pd 0.2421 0.1092 0.6575  4 Sn 2.69-2.82, 4 Pd 2.83-3.00, 2 Ag 2.85-2.91
13 Pd 0.5618 0.7722 0.9810  4 Sn 2.69-2.79, 4 Pd 2.84-2.91, 1 Ag 2.90
14 Pd 0.9781 0.6866 0.1115  3 Sn 2.68-2.72, 4 Pd 2.77-2.95, 1 Ag 2.85

formation energy from the elements: -29.9 kJ per mole of atoms
symmetry: P1, No. 1
V: 262.9 Å³ per cell
total moment: 0.0 μB/f.u.
energy relative to the lowest polymorph listed for this composition: 0.0 meV/atom

# 2
VASP calculation (GGA-PBE) on an optimized crystal structure of Ag2Sn2Pd.

Cell lengths 7.2643, 7.2643, 4.0067 Å; angles 90.00, 90.00, 90.00 degrees
Closest atoms and distances in Å follow each position.
Fractional coordinates of all 10 atoms:
1 Pd 0.0000 0.0000 0.0000  4 Ag 2.83
2 Pd 0.5000 0.5000 0.0000  4 Ag 2.83
3 Sn 0.1732 0.6732 0.5000  6 Ag 2.81-3.02
4 Sn 0.6732 0.8268 0.5000  6 Ag 2.81-3.02
5 Sn 0.8268 0.3268 0.5000  6 Ag 2.81-3.02
6 Sn 0.3268 0.1732 0.5000  6 Ag 2.81-3.02
7 Ag 0.3651 0.8651 0.0000  1 Ag 2.77, 6 Sn 2.81-3.02, 2 Pd 2.83
8 Ag 0.8651 0.6349 0.0000  1 Ag 2.77, 6 Sn 2.81-3.02, 2 Pd 2.83
9 Ag 0.6349 0.1349 0.0000  1 Ag 2.77, 6 Sn 2.81-3.02, 2 Pd 2.83
10 Ag 0.1349 0.3651 0.0000  1 Ag 2.77, 6 Sn 2.81-3.02, 2 Pd 2.83

formation energy from the elements: 4.5 kJ per mole of atoms
symmetry: P4/mbm, No. 127
V: 211.4 Å³ per cell
total moment: 0.0 μB/f.u.
energy relative to the lowest polymorph listed for this composition: 60.6 meV/atom

# 3
VASP calculation (GGA-PBE) on an optimized crystal structure of Ag2SnPd3.

Cell lengths 3.7914, 4.2981, 12.5303 Å; angles 90.00, 90.00, 90.00 degrees
Closest atoms and distances in Å follow each position.
Fractional coordinates of all 12 atoms:
1 Ag 0.9999 0.0000 0.6730  8 Pd 2.83-2.88, 2 Ag 2.89, 2 Sn 3.05
2 Ag 0.9999 0.0000 0.3270  8 Pd 2.83-2.88, 2 Ag 2.89, 2 Sn 3.05
3 Ag 0.0001 0.5000 0.1730  8 Pd 2.83-2.88, 2 Ag 2.89, 2 Sn 3.05
4 Ag 0.0001 0.5000 0.8270  8 Pd 2.83-2.88, 2 Ag 2.89, 2 Sn 3.05
5 Sn 0.9999 0.5000 0.5000  8 Pd 2.75-2.87, 4 Ag 3.05
6 Sn 0.0001 0.0000 0.0000  8 Pd 2.75-2.87, 4 Ag 3.05
7 Pd 0.4999 0.5000 0.6595  2 Sn 2.75, 6 Ag 2.83-2.87, 2 Pd 2.93
8 Pd 0.4999 0.0000 0.5000  4 Sn 2.87, 4 Ag 2.88, 4 Pd 2.93
9 Pd 0.4999 0.5000 0.3405  2 Sn 2.75, 6 Ag 2.83-2.87, 2 Pd 2.93
10 Pd 0.5001 0.0000 0.1595  2 Sn 2.75, 6 Ag 2.83-2.87, 2 Pd 2.93
11 Pd 0.5001 0.5000 0.0000  4 Sn 2.87, 4 Ag 2.88, 4 Pd 2.93
12 Pd 0.5001 0.0000 0.8405  2 Sn 2.75, 6 Ag 2.83-2.87, 2 Pd 2.93

formation energy from the elements: -27.3 kJ per mole of atoms
symmetry: Cmmm, No. 65
V: 204.2 Å³ per cell
total moment: 0.0 μB/f.u.
energy relative to the lowest polymorph listed for this composition: 0.0 meV/atom

# 4
VASP calculation (GGA-PBE) on an optimized crystal structure of Ag3SnPd.

Cell lengths 5.0514, 5.0514, 5.0514 Å; angles 90.00, 90.00, 90.00 degrees
Closest atoms and distances in Å follow each position.
Fractional coordinates of all 5 atoms:
1 Pd 0.0000 0.0000 0.0000  6 Ag 2.53
2 Sn 0.5000 0.5000 0.5000  12 Ag 3.57
3 Ag 0.0000 0.5000 0.0000  2 Pd 2.53
4 Ag 0.0000 0.0000 0.5000  2 Pd 2.53
5 Ag 0.5000 0.0000 0.0000  2 Pd 2.53

formation energy from the elements: 57.7 kJ per mole of atoms
symmetry: Pm-3m, No. 221
V: 128.9 Å³ per cell
total moment: 0.0 μB/f.u.
energy relative to the lowest polymorph listed for this composition: 0.0 meV/atom

# 5
VASP calculation (GGA-PBE) on an optimized crystal structure of AgSnPd2.

Cell lengths 3.5418, 4.4221, 4.4221 Å; angles 90.00, 90.00, 90.00 degrees
Closest atoms and distances in Å follow each position.
Fractional coordinates of all 4 atoms:
1 Pd 0.0000 0.0000 0.5000  4 Sn 2.83, 4 Ag 2.83, 4 Pd 3.13
2 Pd 0.0000 0.5000 0.0000  4 Sn 2.83, 4 Ag 2.83, 4 Pd 3.13
3 Sn 0.5000 0.5000 0.5000  8 Pd 2.83, 4 Ag 3.13
4 Ag 0.5000 0.0000 0.0000  8 Pd 2.83, 4 Sn 3.13

formation energy from the elements: -32.2 kJ per mole of atoms
symmetry: P4/mmm, No. 123
V: 69.3 Å³ per cell
total moment: 0.0 μB/f.u.
energy relative to the lowest polymorph listed for this composition: 33.7 meV/atom

# 6
VASP calculation (GGA-PBE) on an optimized crystal structure of Ag3SnPd6.

Cell lengths 4.1527, 8.7572, 9.1722 Å; angles 93.94, 90.00, 90.00 degrees
Closest atoms and distances in Å follow each position.
Fractional coordinates of all 20 atoms:
1 Ag 0.2500 0.5536 0.4022  8 Pd 2.83-2.98, 4 Ag 2.94-2.95
2 Ag 0.7500 0.4464 0.5978  8 Pd 2.83-2.98, 4 Ag 2.94-2.95
3 Ag 0.2500 0.3430 0.7971  8 Pd 2.82-2.92, 4 Ag 2.91-2.95
4 Ag 0.7500 0.6570 0.2029  8 Pd 2.82-2.92, 4 Ag 2.91-2.95
5 Ag 0.2500 0.7496 0.0055  10 Pd 2.80-2.96, 2 Ag 2.91
6 Ag 0.7500 0.2504 0.9945  10 Pd 2.80-2.96, 2 Ag 2.91
7 Sn 0.2500 0.9319 0.6270  9 Pd 2.66-2.87
8 Sn 0.7500 0.0681 0.3730  9 Pd 2.66-2.87
9 Pd 0.2500 0.4524 0.0993  5 Pd 2.76-2.92, 7 Ag 2.80-2.87
10 Pd 0.7500 0.5476 0.9007  5 Pd 2.76-2.92, 7 Ag 2.80-2.87
11 Pd 0.2500 0.1586 0.1903  8 Pd 2.75-2.87, 2 Sn 2.82, 2 Ag 2.90
12 Pd 0.7500 0.8414 0.8097  8 Pd 2.75-2.87, 2 Sn 2.82, 2 Ag 2.90
13 Pd 0.2500 0.6430 0.7041  1 Sn 2.67, 5 Ag 2.82-2.86, 4 Pd 2.83-2.91
14 Pd 0.7500 0.3570 0.2959  1 Sn 2.67, 5 Ag 2.82-2.86, 4 Pd 2.83-2.91
15 Pd 0.2500 0.2345 0.4959  3 Sn 2.74-2.98, 5 Pd 2.84-3.02, 4 Ag 2.86-2.98
16 Pd 0.7500 0.7655 0.5041  3 Sn 2.74-2.98, 5 Pd 2.84-3.02, 4 Ag 2.86-2.98
17 Pd 0.2500 0.8676 0.3157  3 Sn 2.75-2.87, 5 Pd 2.87-3.01, 4 Ag 2.91-2.96
18 Pd 0.7500 0.1324 0.6843  3 Sn 2.75-2.87, 5 Pd 2.87-3.01, 4 Ag 2.91-2.96
19 Pd 0.2500 0.0468 0.9026  1 Sn 2.66, 5 Pd 2.75-2.89, 4 Ag 2.83
20 Pd 0.7500 0.9532 0.0974  1 Sn 2.66, 5 Pd 2.75-2.89, 4 Ag 2.83

formation energy from the elements: -19.5 kJ per mole of atoms
symmetry: P2_1/m, No. 11
V: 332.8 Å³ per cell
total moment: 0.0 μB/f.u.
energy relative to the lowest polymorph listed for this composition: 0.0 meV/atom

# 7
VASP calculation (GGA-PBE) on an optimized crystal structure of AgSnPd2.

Cell lengths 3.3603, 3.3603, 6.1777 Å; angles 90.00, 90.00, 90.00 degrees
Closest atoms and distances in Å follow each position.
Fractional coordinates of all 4 atoms:
1 Pd 0.0000 0.0000 0.7607  4 Sn 2.80, 4 Ag 2.87, 1 Pd 2.96
2 Pd 0.0000 0.0000 0.2393  4 Sn 2.80, 4 Ag 2.87, 1 Pd 2.96
3 Sn 0.5000 0.5000 0.0000  8 Pd 2.80, 2 Ag 3.09
4 Ag 0.5000 0.5000 0.5000  8 Pd 2.87, 2 Sn 3.09

formation energy from the elements: -29.8 kJ per mole of atoms
symmetry: P4/mmm, No. 123
V: 69.8 Å³ per cell
total moment: 0.0 μB/f.u.
energy relative to the lowest polymorph listed for this composition: 59.2 meV/atom

# 8
VASP calculation (GGA-PBE) on an optimized crystal structure of Ag3SnPd4.

Cell lengths 4.6782, 4.6782, 7.0028 Å; angles 109.48, 109.51, 90.00 degrees
Closest atoms and distances in Å follow each position.
Fractional coordinates of all 8 atoms:
1 Pd 0.3780 0.3779 0.7560  2 Sn 2.78, 6 Ag 2.78-2.84, 1 Pd 3.01
2 Pd 0.6220 0.6221 0.2440  2 Sn 2.78, 6 Ag 2.78-2.84, 1 Pd 3.01
3 Pd 0.1220 0.1219 0.2440  6 Ag 2.78-2.84, 2 Sn 2.78, 1 Pd 3.01
4 Pd 0.8780 0.8781 0.7560  6 Ag 2.78-2.84, 2 Sn 2.78, 1 Pd 3.01
5 Sn 0.5000 0.0000 0.0000  8 Pd 2.78
6 Ag 0.0000 0.5000 0.0000  8 Pd 2.78, 2 Ag 3.06
7 Ag 0.7523 0.2521 0.5046  8 Pd 2.81-2.84, 1 Ag 3.06, 1 Sn 3.12
8 Ag 0.2477 0.7479 0.4954  8 Pd 2.81-2.84, 1 Ag 3.06, 1 Sn 3.12

formation energy from the elements: -22.6 kJ per mole of atoms
symmetry: I4/mmm, No. 139
V: 135.1 Å³ per cell
total moment: 0.0 μB/f.u.